No. 1
A plane-wave DFT calculation with SCAN was carried out for a PBEsol-optimized structure of ScRePdBr2.

Computed properties:
Total DFT energy (no corrections) in eV for the cell shown: -152.7

Unit cell a=4.9652 b=4.9652 c=5.2596 alpha=90.00 beta=90.00 gamma=90.00
With the nearest neighbours (Å) after each atom.
Element x y z (fractional)
Sc 0.0000 0.0000 0.0000  4 Br 2.48, 2 Re 2.63
Re 0.0000 0.0000 0.5000  2 Sc 2.63
Pd 0.5000 0.5000 0.5000  4 Re 3.51, 8 Br 3.62
Br 0.0000 0.5000 0.0000  2 Sc 2.48
Br 0.5000 0.0000 0.0000  2 Sc 2.48

No. 2
A plane-wave DFT calculation with SCAN was carried out for a PBEsol-optimized structure of RbBi3Se.

Computed properties:
Total DFT energy (no corrections) in eV for the cell shown: -268.5

Unit cell a=5.9795 b=5.9795 c=5.9795 alpha=90.00 beta=90.00 gamma=90.00
With the nearest neighbours (Å) after each atom.
Element x y z (fractional)
Rb 0.0000 0.0000 0.0000  6 Bi 2.99
Bi 0.0000 0.0000 0.5000  2 Rb 2.99
Bi 0.0000 0.5000 0.0000  2 Rb 2.99
Bi 0.5000 0.0000 0.0000  2 Rb 2.99
Se 0.5000 0.5000 0.5000  12 Bi 4.23